*P*
Computed, not measured: a geometry-optimized Tc2TeAs structure at the GGA-PBE level of DFT.

Results
V = 70.3 Å³ per cell

Cell: 5.1437 5.1437 5.1437 Å, 142.73 119.52 73.24°
Last column: nearest neighbours and their distance in Å.
Sites, in units of the cell vectors:
Tc (0.2193, 0.2193, 0.0000)  2 As 2.45
Tc (0.7807, 0.7807, 0.0000)  2 As 2.45
Te (0.5000, 0.0000, 0.5000)  8 Tc 2.84-3.16, 4 As 3.07
As (0.0000, 0.5000, 0.5000)  4 Tc 2.45

---

*Q*
Computed, not measured: a geometry-optimized Tc2TeAs structure at the GGA-PBE level of DFT.

Results
V = 76.4 Å³ per cell

Cell: 3.0832 3.0832 8.0342 Å, 90.00 90.00 90.00°
Last column: nearest neighbours and their distance in Å.
Sites, in units of the cell vectors:
Tc (0.0000, 0.0000, 0.0000)  4 As 2.58, 4 Tc 2.82
Tc (0.5000, 0.5000, 0.2228)  4 Te 2.73, 4 Tc 2.82
Te (0.0000, 0.0000, 0.4275)  4 Tc 2.73
As (0.5000, 0.5000, 0.8274)  4 Tc 2.58

---

*R*
Computed, not measured: a geometry-optimized Tc2TeAs structure at the GGA-PBE level of DFT.

Results
V = 81.3 Å³ per cell

Cell: 10.2682 10.2682 10.2682 Å, 17.06 17.06 17.06°
Last column: nearest neighbours and their distance in Å.
Sites, in units of the cell vectors:
Tc (0.0000, 0.0000, 0.0000)  3 As 2.55, 3 Tc 2.75
Tc (0.2637, 0.2637, 0.2637)  3 Te 2.75, 9 Tc 2.75-3.05
Te (0.5274, 0.5274, 0.5274)  3 Tc 2.75, 6 Te 3.05
As (0.7273, 0.7273, 0.7273)  3 Tc 2.55

---

Verdict on stability: *Q* comes out on top.

---

*P*
Computed, not measured: a geometry-optimized TcTe3As structure at the GGA-PBE level of DFT.

Results
V = 156.2 Å³ per cell

Cell: 5.3852 5.3852 5.3852 Å, 90.00 90.00 90.00°
Last column: nearest neighbours and their distance in Å.
Sites, in units of the cell vectors:
Tc (0.0000, 0.0000, 0.0000)  12 Te 3.81
Te (0.0000, 0.5000, 0.5000)  2 As 2.69
Te (0.5000, 0.0000, 0.5000)  2 As 2.69
Te (0.5000, 0.5000, 0.0000)  2 As 2.69
As (0.5000, 0.5000, 0.5000)  6 Te 2.69

---

*Q*
Computed, not measured: a geometry-optimized TcTe3As structure at the GGA-PBE level of DFT.

Results
V = 139.0 Å³ per cell

Cell: 5.1798 5.1798 5.1798 Å, 90.00 90.00 90.00°
Last column: nearest neighbours and their distance in Å.
Sites, in units of the cell vectors:
Tc (0.0000, 0.0000, 0.0000)  6 Te 2.59
Te (0.0000, 0.0000, 0.5000)  2 Tc 2.59
Te (0.0000, 0.5000, 0.0000)  2 Tc 2.59
Te (0.5000, 0.0000, 0.0000)  2 Tc 2.59
As (0.5000, 0.5000, 0.5000)  12 Te 3.66

---

Verdict on stability: *Q* comes out on top.

---

*P*
Computed, not measured: a geometry-optimized Tc3TeAs structure at the GGA-PBE level of DFT.

Results
V = 113.7 Å³ per cell

Cell: 4.8451 4.8451 4.8451 Å, 90.00 90.00 90.00°
Last column: nearest neighbours and their distance in Å.
Sites, in units of the cell vectors:
Tc (0.0000, 0.0000, 0.5000)  2 Te 2.42
Tc (0.0000, 0.5000, 0.0000)  2 Te 2.42
Tc (0.5000, 0.0000, 0.0000)  2 Te 2.42
Te (0.0000, 0.0000, 0.0000)  6 Tc 2.42
As (0.5000, 0.5000, 0.5000)  12 Tc 3.43

---

*Q*
Computed, not measured: a geometry-optimized Tc3TeAs structure at the GGA-PBE level of DFT.

Results
V = 98.2 Å³ per cell

Cell: 4.6138 4.6138 4.6138 Å, 90.00 90.00 90.00°
Last column: nearest neighbours and their distance in Å.
Sites, in units of the cell vectors:
Tc (0.0000, 0.0000, 0.5000)  2 As 2.31
Tc (0.0000, 0.5000, 0.0000)  2 As 2.31
Tc (0.5000, 0.0000, 0.0000)  2 As 2.31
Te (0.5000, 0.5000, 0.5000)  12 Tc 3.26
As (0.0000, 0.0000, 0.0000)  6 Tc 2.31

---

Verdict on stability: *Q* comes out on top.

---

*P*
Computed, not measured: a geometry-optimized Tc2TeAs2 structure at the GGA-PBE level of DFT.

Results
V = 93.1 Å³ per cell

Cell: 6.6568 6.6568 6.6568 Å, 145.72 145.72 49.26°
Last column: nearest neighbours and their distance in Å.
Sites, in units of the cell vectors:
Tc (0.1209, 0.1209, 0.0000)  4 As 2.51
Tc (0.8791, 0.8791, 0.0000)  4 As 2.51
Te (0.5000, 0.5000, 0.0000)  8 Tc 3.14
As (0.2500, 0.7500, 0.5000)  4 Tc 2.51, 4 As 2.77
As (0.7500, 0.2500, 0.5000)  4 Tc 2.51, 4 As 2.77

---

*Q*
Computed, not measured: a geometry-optimized Tc2TeAs2 structure at the GGA-PBE level of DFT.

Results
V = 173.0 Å³ per cell

Cell: 7.4741 7.4741 3.0969 Å, 90.00 90.00 90.00°
Last column: nearest neighbours and their distance in Å.
Sites, in units of the cell vectors:
Tc (0.1434, 0.3566, 0.0000)  6 As 2.62-2.77, 2 Te 2.87
Tc (0.3566, 0.8566, 0.0000)  6 As 2.62-2.77, 2 Te 2.87
Tc (0.6434, 0.1434, 0.0000)  6 As 2.62-2.77, 2 Te 2.87
Tc (0.8566, 0.6434, 0.0000)  6 As 2.62-2.77, 2 Te 2.87
Te (0.0000, 0.0000, 0.0000)  4 Tc 2.87, 2 Te 3.10
Te (0.5000, 0.5000, 0.0000)  4 Tc 2.87, 2 Te 3.10
As (0.1392, 0.6392, 0.5000)  6 Tc 2.62-2.77
As (0.3608, 0.1392, 0.5000)  6 Tc 2.62-2.77
As (0.6392, 0.8608, 0.5000)  6 Tc 2.62-2.77
As (0.8608, 0.3608, 0.5000)  6 Tc 2.62-2.77

---

Verdict on stability: *Q* comes out on top.

---

*P*
Computed, not measured: a geometry-optimized TiTcAs2 structure at the GGA-PBE level of DFT.

Results
V = 62.9 Å³ per cell

Cell: 4.7620 4.7620 4.5027 Å, 102.68 102.68 39.33°
Last column: nearest neighbours and their distance in Å.
Sites, in units of the cell vectors:
Ti (0.0000, 0.0000, 0.0000)  7 As 2.55-2.79
Tc (0.7843, 0.7843, 0.3903)  7 As 2.54-2.83
As (0.2687, 0.2687, 0.9002)  3 Ti 2.55-2.58, 4 Tc 2.70-2.83
As (0.5107, 0.5107, 0.5110)  3 Tc 2.54-2.63, 4 Ti 2.74-2.79

---

*Q*
Computed, not measured: a geometry-optimized TiTcAs2 structure at the GGA-PBE level of DFT.

Results
V = 61.3 Å³ per cell

Cell: 4.4268 4.4268 4.4268 Å, 60.00 60.00 60.00°
Last column: nearest neighbours and their distance in Å.
Sites, in units of the cell vectors:
Ti (0.0000, 0.0000, 0.0000)  8 As 2.71
Tc (0.5000, 0.5000, 0.5000)  8 As 2.71
As (0.2500, 0.2500, 0.2500)  4 Tc 2.71, 4 Ti 2.71
As (0.7500, 0.7500, 0.7500)  4 Ti 2.71, 4 Tc 2.71

---

Verdict on stability: *P* comes out on top.

---

*P*
Computed, not measured: a geometry-optimized TiTcAs2 structure at the GGA-PBE level of DFT.

Results
V = 61.1 Å³ per cell

Cell: 4.4361 4.4361 3.1052 Å, 90.00 90.00 90.00°
Last column: nearest neighbours and their distance in Å.
Sites, in units of the cell vectors:
Ti (0.0000, 0.0000, 0.0000)  8 As 2.71
Tc (0.5000, 0.5000, 0.0000)  8 As 2.71
As (0.0000, 0.5000, 0.5000)  4 Tc 2.71, 4 Ti 2.71
As (0.5000, 0.0000, 0.5000)  4 Tc 2.71, 4 Ti 2.71

---

*Q*
Computed, not measured: a geometry-optimized TiTcAs2 structure at the GGA-PBE level of DFT.

Results
V = 67.2 Å³ per cell

Cell: 5.6868 5.6868 5.6868 Å, 39.58 39.58 39.58°
Last column: nearest neighbours and their distance in Å.
Sites, in units of the cell vectors:
Ti (0.0000, 0.0000, 0.0000)  6 As 2.63
Tc (0.5000, 0.5000, 0.5000)  6 As 2.53
As (0.2440, 0.2440, 0.2440)  3 Tc 2.53, 3 Ti 2.63
As (0.7560, 0.7560, 0.7560)  3 Tc 2.53, 3 Ti 2.63

---

Verdict on stability: *P* comes out on top.